Density functional theory data (PBE) for crystalline Cu3TeS at its relaxed geometry.

Results
The calculation puts the total energy at -18.67 eV for the cell shown. The value obtained for the uncorrected formation energy is 0.178 eV per atom. The energy relative to the lowest polymorph listed for this composition comes out at 242.8 meV/atom.

```
data_Cu3TeS
_cell_length_a 4.492
_cell_length_b 4.492
_cell_length_c 4.492
_cell_angle_alpha 90.00
_cell_angle_beta 90.00
_cell_angle_gamma 90.00
_symmetry_space_group_name_H-M 'P m -3 m'
_symmetry_Int_Tables_number 221
_symmetry_space_group_name_Hall '-P 4 2 3'
loop_
_atom_site_label
_atom_site_type_symbol
_atom_site_fract_x
_atom_site_fract_y
_atom_site_fract_z
Cu1 Cu 0.000 0.000 0.500
Te1 Te 0.500 0.500 0.500
S1 S 0.000 0.000 0.000
```